An optimized crystal structure of Er3Te2Se2, computed with PBE.

## Properties
DOS(E_F)   0.4106 states/eV/atom
Symmetry   C2/m
Excess energy over the best structure of this formula in the dataset   76.7 meV/atom
Uncorrected formation energy   -1.538 eV per atom

The structure in POSCAR format:
```
Er3Te2Se2
1.0
3.942 0.000 -1.059
-0.149 6.191 -0.554
0.151 0.339 8.430
Er Te Se
3 2 2
Direct
0.000 0.000 0.000
0.186 0.742 0.372
0.814 0.258 0.628
0.174 0.244 0.347
0.826 0.756 0.653
0.431 0.252 0.863
0.569 0.748 0.137
```